[1]
{"formula": "TiPPtO2", "functional": "PBE", "state": "relaxed", "lattice_angstrom": [[3.892, 0.000, 0.000], [0.000, 3.892, 0.000], [0.000, 0.000, 4.899]], "species": ["Ti", "P", "Pt", "O", "O"], "frac_coords": [[0.000, 0.000, 0.000], [0.500, 0.500, 0.000], [0.500, 0.500, 0.500], [0.000, 0.500, 0.500], [0.500, 0.000, 0.500]], "dft_energy_ev_per_atom": -5.913, "volume_a3_per_cell": 74, "formation_energy_uncorrected_ev_per_fu": -0.3, "magnetic_moment_mub_per_fu": 0.343, "dos_at_fermi_per_ev_fu": 6.3, "de_polymorph_mev_per_atom": 980}

[2]
{"formula": "TiP2PtO", "functional": "PBE", "state": "relaxed", "lattice_angstrom": [[4.848, 0.000, 0.000], [0.000, 4.848, 0.000], [0.000, 0.000, 3.584]], "species": ["Ti", "P", "P", "Pt", "O"], "frac_coords": [[0.000, 0.000, 0.000], [0.000, 0.500, 0.000], [0.500, 0.000, 0.000], [0.500, 0.500, 0.500], [0.000, 0.000, 0.500]], "dft_energy_ev_per_atom": -6.219, "volume_a3_per_cell": 84, "formation_energy_uncorrected_ev_per_fu": -1.4, "magnetic_moment_mub_per_fu": 0.000, "dos_at_fermi_per_ev_fu": 3.2, "de_polymorph_mev_per_atom": 0}

[3]
{"formula": "TlPPtO5", "functional": "PBE", "state": "relaxed", "lattice_angstrom": [[3.147, -4.467, 0.000], [3.147, 4.467, 0.000], [-2.956, 0.000, 7.876]], "species": ["Tl", "Tl", "P", "P", "Pt", "Pt", "O", "O", "O", "O", "O", "O", "O", "O", "O", "O"], "frac_coords": [[0.000, 0.000, 0.000], [0.000, 0.000, 0.500], [0.319, 0.681, 0.750], [0.681, 0.319, 0.250], [0.298, 0.702, 0.250], [0.702, 0.298, 0.750], [0.046, 0.635, 0.801], [0.083, 0.917, 0.250], [0.289, 0.450, 0.598], [0.365, 0.954, 0.699], [0.450, 0.289, 0.098], [0.550, 0.711, 0.902], [0.635, 0.046, 0.301], [0.711, 0.550, 0.402], [0.917, 0.083, 0.750], [0.954, 0.365, 0.199]], "dft_energy_ev_per_atom": -5.898, "volume_a3_per_cell": 221, "formation_energy_uncorrected_ev_per_fu": -8.6, "magnetic_moment_mub_per_fu": 0.000, "dos_at_fermi_per_ev_fu": 0.2}

[4]
{"formula": "TlPPtO2", "functional": "PBE", "state": "relaxed", "lattice_angstrom": [[3.985, 0.000, 0.000], [0.000, 3.985, 0.000], [0.000, 0.000, 5.065]], "species": ["Tl", "P", "Pt", "O", "O"], "frac_coords": [[0.000, 0.000, 0.000], [0.500, 0.500, 0.000], [0.500, 0.500, 0.500], [0.000, 0.500, 0.500], [0.500, 0.000, 0.500]], "dft_energy_ev_per_atom": -4.703, "volume_a3_per_cell": 80, "formation_energy_uncorrected_ev_per_fu": 0.2, "magnetic_moment_mub_per_fu": 1.115, "dos_at_fermi_per_ev_fu": 4.6, "de_polymorph_mev_per_atom": 0}

[5]
{"formula": "TlPPtO2", "functional": "PBE", "state": "relaxed", "lattice_angstrom": [[3.885, 0.000, 0.000], [0.000, 3.885, 0.000], [0.000, 0.000, 7.520]], "species": ["Tl", "P", "Pt", "O", "O"], "frac_coords": [[0.000, 0.000, 0.000], [0.000, 0.000, 0.500], [0.500, 0.500, 0.500], [0.000, 0.500, 0.000], [0.500, 0.000, 0.000]], "dft_energy_ev_per_atom": -3.949, "volume_a3_per_cell": 114, "formation_energy_uncorrected_ev_per_fu": 4.0, "magnetic_moment_mub_per_fu": 0.198, "dos_at_fermi_per_ev_fu": 3.4, "de_polymorph_mev_per_atom": 754}

Which formula does entry 5 have? TlPPtO2

Copy entry 1 word for word.
{"formula": "TiPPtO2", "functional": "PBE", "state": "relaxed", "lattice_angstrom": [[3.892, 0.000, 0.000], [0.000, 3.892, 0.000], [0.000, 0.000, 4.899]], "species": ["Ti", "P", "Pt", "O", "O"], "frac_coords": [[0.000, 0.000, 0.000], [0.500, 0.500, 0.000], [0.500, 0.500, 0.500], [0.000, 0.500, 0.500], [0.500, 0.000, 0.500]], "dft_energy_ev_per_atom": -5.913, "volume_a3_per_cell": 74, "formation_energy_uncorrected_ev_per_fu": -0.3, "magnetic_moment_mub_per_fu": 0.343, "dos_at_fermi_per_ev_fu": 6.3, "de_polymorph_mev_per_atom": 980}